{"formula": "CaTlSeClO", "functional": "PBE-GGA", "state": "relaxed", "e_form_raw_kj_per_mol_fu": -679.3, "total_magnetization_mub_per_fu": 0.00, "space_group": "P1, No. 1", "vol_a3_per_atom": 27.1, "relative_energy_ev_per_atom": 0.040, "cell": [[4.215, 0.000, 0.000], [1.203, 4.082, 0.000], [1.676, 1.699, 7.881]], "species": ["Ca", "Tl", "Se", "Cl", "O"], "frac_coords": [[0.000, 0.000, 0.000], [0.497, 0.354, 0.546], [0.848, 0.698, 0.750], [0.051, 0.370, 0.222], [0.550, 0.922, 0.908]]}


{"formula": "Li2Pb", "functional": "PBE-GGA", "state": "relaxed", "formation_enthalpy_0k_ev_per_atom": -0.1711, "total_magnetization_mub_per_fu": 0.00, "space_group": "P4/mmm, No. 123", "vol_a3_per_atom": 25.7, "cell": [[4.857, 0.000, 0.000], [0.000, 4.857, 0.000], [0.000, 0.000, 3.271]], "species": ["Li", "Li", "Pb"], "frac_coords": [[0.000, 0.500, 0.000], [0.500, 0.000, 0.000], [0.000, 0.000, 0.500]]}


{"formula": "AlI3Br", "functional": "PBE-GGA", "state": "relaxed", "e_form_raw_kj_per_mol_fu": -12.1, "total_magnetization_mub_per_fu": 1.09, "space_group": "Pm-3m, No. 221", "vol_a3_per_atom": 34.7, "relative_energy_ev_per_atom": 0.485, "cell": [[5.576, 0.000, 0.000], [0.000, 5.576, 0.000], [0.000, 0.000, 5.576]], "species": ["Al", "I", "I", "I", "Br"], "frac_coords": [[0.000, 0.000, 0.000], [0.000, 0.000, 0.500], [0.000, 0.500, 0.000], [0.500, 0.000, 0.000], [0.500, 0.500, 0.500]]}